A plane-wave DFT calculation with PBE was carried out for an optimized crystal structure of Rb2Sc2Ag.

Cell: 11.7526 11.7526 3.2869 Å, 90.00 90.00 90.00°
With the nearest neighbours (Å) after each atom.
Fractional coordinates of all 10 atoms:
Sc 0.0809 0.5809 0.5000  1 Sc 2.69
Sc 0.5809 0.9191 0.5000  1 Sc 2.69
Sc 0.9191 0.4191 0.5000  1 Sc 2.69
Sc 0.4191 0.0809 0.5000  1 Sc 2.69
Rb 0.2937 0.7937 0.0000  2 Rb 3.29
Rb 0.7937 0.7063 0.0000  2 Rb 3.29
Rb 0.7063 0.2063 0.0000  2 Rb 3.29
Rb 0.2063 0.2937 0.0000  2 Rb 3.29
Ag 0.0000 0.0000 0.0000  2 Ag 3.29
Ag 0.5000 0.5000 0.0000  2 Ag 3.29

Computed properties:
Space-group type: P4/mbm, No. 127
DFT formation energy: 0.948 eV per atom
Calculated total energy: -2.5415 eV/atom

A plane-wave DFT calculation with PBE was carried out for an optimized crystal structure of RbScAg3.

Cell: 5.4821 5.4821 5.4821 Å, 90.00 90.00 90.00°
With the nearest neighbours (Å) after each atom.
Fractional coordinates of all 5 atoms:
Sc 0.0000 0.0000 0.0000  6 Ag 2.74
Rb 0.5000 0.5000 0.5000  12 Ag 3.88
Ag 0.0000 0.5000 0.0000  2 Sc 2.74
Ag 0.0000 0.0000 0.5000  2 Sc 2.74
Ag 0.5000 0.0000 0.0000  2 Sc 2.74

Computed properties:
Space-group type: Pm-3m, No. 221
DFT formation energy: 0.411 eV per atom
Calculated total energy: -2.7596 eV/atom

A plane-wave DFT calculation with PBE was carried out for an optimized crystal structure of Rb2Sc2Ag.

Cell: 4.1630 4.1630 12.2228 Å, 80.20 80.20 90.00°
With the nearest neighbours (Å) after each atom.
Fractional coordinates of all 5 atoms:
Sc 0.7500 0.2500 0.5000  4 Sc 2.94
Sc 0.2500 0.7500 0.5000  4 Sc 2.94
Rb 0.4071 0.4071 0.1859  4 Ag 3.68
Rb 0.5929 0.5929 0.8141  4 Ag 3.68
Ag 0.0000 0.0000 0.0000  8 Rb 3.68

Computed properties:
Space-group type: I4/mmm, No. 139
DFT formation energy: 0.513 eV per atom
Calculated total energy: -2.9770 eV/atom

A plane-wave DFT calculation with PBE was carried out for an optimized crystal structure of RbScAgSe2.

Cell: 4.7780 7.7463 7.7051 Å, 89.83 90.00 90.00°
With the nearest neighbours (Å) after each atom.
Fractional coordinates of all 10 atoms:
Rb 0.9979 0.5000 0.7500  8 Se 3.52-3.88, 2 Rb 3.85
Rb 0.0021 0.5000 0.2500  8 Se 3.52-3.88, 2 Rb 3.85
Sc 0.5001 0.0000 0.2500  4 Se 2.67
Sc 0.4999 0.0000 0.7500  4 Se 2.67
Ag 0.0000 0.0000 0.0000  2 Se 2.80, 4 Sc 3.07
Ag 0.0000 0.0000 0.5000  2 Se 2.80, 4 Sc 3.07
Se 0.5566 0.7642 0.0007  2 Sc 2.67, 1 Ag 2.80
Se 0.5566 0.2358 0.4993  2 Sc 2.67, 1 Ag 2.80
Se 0.4434 0.7642 0.5007  2 Sc 2.67, 1 Ag 2.80
Se 0.4434 0.2358 0.9993  2 Sc 2.67, 1 Ag 2.80

Computed properties:
Space-group type: P2/c, No. 13
Calculated total energy: -4.4212 eV/atom

A plane-wave DFT calculation with PBE was carried out for an optimized crystal structure of Rb2ScTaAg.

Cell: 6.0760 5.7020 6.0760 Å, 90.00 90.00 90.00°
With the nearest neighbours (Å) after each atom.
Fractional coordinates of all 5 atoms:
Sc 0.0000 0.5000 0.0000  2 Ag 2.85
Rb 0.0000 0.0000 0.5000  2 Ag 3.04
Rb 0.5000 0.0000 0.0000  2 Ag 3.04
Ag 0.0000 0.0000 0.0000  2 Sc 2.85, 4 Rb 3.04
Ta 0.5000 0.5000 0.5000  8 Rb 4.17, 4 Sc 4.30

Computed properties:
Space-group type: P4/mmm, No. 123
DFT formation energy: 1.609 eV per atom
Calculated total energy: -2.9853 eV/atom

A plane-wave DFT calculation with PBE was carried out for an optimized crystal structure of RbScTc2Ag.

Cell: 5.2086 5.1359 5.2086 Å, 90.00 90.00 90.00°
With the nearest neighbours (Å) after each atom.
Fractional coordinates of all 5 atoms:
Sc 0.0000 0.5000 0.0000  2 Ag 2.57
Rb 0.5000 0.5000 0.5000  8 Tc 3.66, 4 Sc 3.68
Tc 0.0000 0.0000 0.5000  2 Ag 2.60
Tc 0.5000 0.0000 0.0000  2 Ag 2.60
Ag 0.0000 0.0000 0.0000  2 Sc 2.57, 4 Tc 2.60

Computed properties:
Space-group type: P4/mmm, No. 123
DFT formation energy: 1.640 eV per atom
Calculated total energy: -4.5366 eV/atom

A plane-wave DFT calculation with PBE was carried out for an optimized crystal structure of RbSc3Ag2Te6.

Cell: 4.3022 9.6006 9.8571 Å, 108.21 102.60 90.00°
With the nearest neighbours (Å) after each atom.
Fractional coordinates of all 12 atoms:
Rb 0.5000 0.0000 0.0000  6 Te 3.38-3.52, 4 Ag 3.59
Sc 0.5000 0.5000 0.0000  6 Te 2.92-2.96
Sc 0.8457 0.1766 0.6914  6 Te 2.90-3.10
Sc 0.1543 0.8234 0.3086  6 Te 2.90-3.10
Ag 0.8576 0.7796 0.7152  3 Te 2.85
Ag 0.1424 0.2204 0.2848  3 Te 2.85
Te 0.3164 0.9323 0.6328  2 Ag 2.85, 3 Sc 2.95-3.10
Te 0.6596 0.6249 0.3191  3 Sc 2.90-2.92
Te 0.6836 0.0677 0.3672  2 Ag 2.85, 3 Sc 2.95-3.10
Te 0.0104 0.2956 0.0209  1 Ag 2.85, 3 Sc 2.96-3.01
Te 0.9896 0.7044 0.9791  1 Ag 2.85, 3 Sc 2.96-3.01
Te 0.3404 0.3751 0.6809  3 Sc 2.90-2.92

Computed properties:
Space-group type: C2/m, No. 12
Calculated total energy: -4.5643 eV/atom

A plane-wave DFT calculation with PBE was carried out for an optimized crystal structure of RbScAg2Te4.

Cell: 6.4333 7.1586 7.1586 Å, 74.66 63.30 63.30°
With the nearest neighbours (Å) after each atom.
Fractional coordinates of all 8 atoms:
Rb 0.0000 0.0000 0.0000  8 Te 3.64-3.69
Sc 0.5000 0.5000 0.5000  4 Te 2.84
Ag 0.1558 0.3442 0.3442  4 Te 2.79-3.10, 1 Ag 2.93
Ag 0.8442 0.6558 0.6558  4 Te 2.79-3.10, 1 Ag 2.93
Te 0.5028 0.0955 0.5310  2 Ag 2.79-3.10, 1 Sc 2.84
Te 0.1294 0.9045 0.4690  2 Ag 2.79-3.10, 1 Sc 2.84
Te 0.8706 0.5310 0.0955  2 Ag 2.79-3.10, 1 Sc 2.84
Te 0.4972 0.4690 0.9045  2 Ag 2.79-3.10, 1 Sc 2.84

Computed properties:
Space-group type: I222, No. 23
Calculated total energy: -3.6256 eV/atom